Entry from Alexandria: a geometry-optimized PaCrHg2O6 structure (PBE+U).

Cell lengths 5.8853, 5.8853, 5.8853 Å; angles 57.43, 57.43, 57.43 degrees
Positions (direct):
Pa 0.0000 0.0000 0.0000
Cr 0.5000 0.5000 0.5000
Hg 0.2435 0.2435 0.2435
Hg 0.7565 0.7565 0.7565
O 0.1590 0.3615 0.7410
O 0.2590 0.8410 0.6385
O 0.3615 0.7410 0.1590
O 0.6385 0.2590 0.8410
O 0.7410 0.1590 0.3615
O 0.8410 0.6385 0.2590

DFT total energy in eV/atom: -6.54